1.
Density functional theory data (PBE-GGA) for a relaxed Ce3ThPa2N6 crystal.

```
Ce3ThPa2N6
1.0
3.094 -5.353 0.000
3.094 5.353 0.000
-2.065 0.000 5.809
Ce Th Pa N
3 1 2 6
Cartesian
0.000 0.000 0.000
3.094 1.776 0.000
3.094 -1.776 0.000
2.061 0.000 2.904
2.061 3.567 2.904
2.061 -3.567 2.904
0.983 1.863 1.555
-0.097 0.000 4.234
0.983 -1.863 1.555
3.139 1.863 4.254
4.220 0.000 1.575
3.139 -1.863 4.254
```

## Properties
Total energy: -9.441 eV/atom
ΔE_f (raw): -1594 meV/atom

2.
Density functional theory data (PBE-GGA) for a relaxed Sc2TlIr crystal.

```
Sc2TlIr
1.0
1.869 1.079 9.061
-1.869 1.079 9.061
0.000 -2.159 9.061
Sc Tl Ir
2 1 1
Cartesian
0.000 0.000 3.104
0.000 0.000 24.080
0.000 0.000 0.000
0.000 0.000 13.592
```

## Properties
ΔE_f: -0.302 eV per atom
Total energy: -6.274 eV/atom